The following is a PBE-GGA calculation of a relaxed LiScGaSi crystal, from the Alexandria database.

abc: 4.583 4.583 4.583
angles: 60.00 60.00 60.00
Element x y z (fractional)
Li (0.000, 0.000, 0.000)
Sc (0.500, 0.500, 0.500)
Ga (0.250, 0.250, 0.250)
Si (0.750, 0.750, 0.750)

Computed properties:
* formation energy from raw total energies: -130 kJ/mol of formula units



The following is a PBE-GGA calculation of a relaxed LiSmSc2Ga4 crystal, from the Alexandria database.

abc: 8.559 8.559 8.559
angles: 32.35 32.35 32.35
Element x y z (fractional)
Li (0.000, 0.000, 0.000)
Sm (0.500, 0.500, 0.500)
Sc (0.256, 0.256, 0.256)
Sc (0.744, 0.744, 0.744)
Ga (0.118, 0.118, 0.118)
Ga (0.372, 0.372, 0.372)
Ga (0.628, 0.628, 0.628)
Ga (0.882, 0.882, 0.882)

Computed properties:
* energy of formation from the pure elements: -0.49 eV/atom



The following is a PBE-GGA calculation of a relaxed LiScGaSn crystal, from the Alexandria database.

abc: 4.841 4.841 4.841
angles: 60.00 60.00 60.00
Element x y z (fractional)
Li (0.000, 0.000, 0.000)
Sc (0.500, 0.500, 0.500)
Ga (0.750, 0.750, 0.750)
Sn (0.250, 0.250, 0.250)

Computed properties:
* energy above the most stable polymorph in this dataset: 108 meV per atom
* energy of formation from the pure elements: -0.40 eV/atom



The following is a PBE-GGA calculation of a relaxed LiScGaSn crystal, from the Alexandria database.

abc: 4.153 4.252 4.332
angles: 90.00 90.00 90.00
Element x y z (fractional)
Li (0.000, 0.000, 0.000)
Sc (0.000, 0.500, 0.500)
Ga (0.500, 0.000, 0.500)
Sn (0.500, 0.500, 0.000)

Computed properties:
* energy above the most stable polymorph in this dataset: 0 meV per atom
* energy of formation from the pure elements: -0.50 eV/atom



The following is a PBE-GGA calculation of a relaxed LiTbScGa crystal, from the Alexandria database.

abc: 4.952 4.952 4.952
angles: 60.00 60.00 60.00
Element x y z (fractional)
Li (0.000, 0.000, 0.000)
Tb (0.250, 0.250, 0.250)
Sc (0.750, 0.750, 0.750)
Ga (0.500, 0.500, 0.500)

Computed properties:
* energy of formation from the pure elements: -0.32 eV/atom



The following is a PBE-GGA calculation of a relaxed LiTbSc2Ga4 crystal, from the Alexandria database.

abc: 8.464 8.464 8.464
angles: 32.59 32.59 32.59
Element x y z (fractional)
Li (0.000, 0.000, 0.000)
Tb (0.500, 0.500, 0.500)
Sc (0.256, 0.256, 0.256)
Sc (0.744, 0.744, 0.744)
Ga (0.120, 0.120, 0.120)
Ga (0.373, 0.373, 0.373)
Ga (0.627, 0.627, 0.627)
Ga (0.880, 0.880, 0.880)

Computed properties:
* energy of formation from the pure elements: -0.51 eV/atom



The following is a PBE-GGA calculation of a relaxed LiSc2Ga5Tc2 crystal, from the Alexandria database.

abc: 9.861 9.861 3.514
angles: 90.00 90.00 90.00
Element x y z (fractional)
Li (0.000, 0.000, 0.000)
Li (0.500, 0.500, 0.000)
Sc (0.185, 0.315, 0.000)
Sc (0.315, 0.815, 0.000)
Sc (0.685, 0.185, 0.000)
Sc (0.815, 0.685, 0.000)
Ga (0.000, 0.500, 0.500)
Ga (0.052, 0.807, 0.500)
Ga (0.193, 0.052, 0.500)
Ga (0.307, 0.552, 0.500)
Ga (0.448, 0.307, 0.500)
Ga (0.500, 0.000, 0.500)
Ga (0.552, 0.693, 0.500)
Ga (0.693, 0.448, 0.500)
Ga (0.807, 0.948, 0.500)
Ga (0.948, 0.193, 0.500)
Tc (0.128, 0.628, 0.000)
Tc (0.372, 0.128, 0.000)
Tc (0.628, 0.872, 0.000)
Tc (0.872, 0.372, 0.000)

Computed properties:
* energy of formation from the pure elements: -0.28 eV/atom



The following is a PBE-GGA calculation of a relaxed Li2Sc2TiGa5 crystal, from the Alexandria database.

abc: 9.022 9.022 4.023
angles: 90.00 90.00 90.00
Element x y z (fractional)
Li (0.121, 0.379, 0.000)
Li (0.379, 0.879, 0.000)
Li (0.621, 0.121, 0.000)
Li (0.879, 0.621, 0.000)
Sc (0.175, 0.675, 0.000)
Sc (0.325, 0.175, 0.000)
Sc (0.675, 0.825, 0.000)
Sc (0.825, 0.325, 0.000)
Ti (0.000, 0.000, 0.000)
Ti (0.500, 0.500, 0.000)
Ga (0.000, 0.500, 0.500)
Ga (0.071, 0.203, 0.500)
Ga (0.203, 0.929, 0.500)
Ga (0.297, 0.429, 0.500)
Ga (0.429, 0.703, 0.500)
Ga (0.500, 0.000, 0.500)
Ga (0.571, 0.297, 0.500)
Ga (0.703, 0.571, 0.500)
Ga (0.797, 0.071, 0.500)
Ga (0.929, 0.797, 0.500)

Computed properties:
* energy of formation from the pure elements: -0.38 eV/atom



The following is a PBE-GGA calculation of a relaxed LiScTlGa crystal, from the Alexandria database.

abc: 4.836 4.836 4.836
angles: 60.00 60.00 60.00
Element x y z (fractional)
Li (0.000, 0.000, 0.000)
Sc (0.500, 0.500, 0.500)
Tl (0.750, 0.750, 0.750)
Ga (0.250, 0.250, 0.250)

Computed properties:
* energy of formation from the pure elements: -0.32 eV/atom



The following is a PBE-GGA calculation of a relaxed LiYScGa crystal, from the Alexandria database.

abc: 4.947 4.947 4.947
angles: 60.00 60.00 60.00
Element x y z (fractional)
Li (0.000, 0.000, 0.000)
Y (0.750, 0.750, 0.750)
Sc (0.250, 0.250, 0.250)
Ga (0.500, 0.500, 0.500)

Computed properties:
* energy of formation from the pure elements: -0.33 eV/atom



The following is a PBE-GGA calculation of a relaxed LiYSc2Ga4 crystal, from the Alexandria database.

abc: 8.449 8.449 8.449
angles: 32.63 32.63 32.63
Element x y z (fractional)
Li (0.000, 0.000, 0.000)
Y (0.500, 0.500, 0.500)
Sc (0.256, 0.256, 0.256)
Sc (0.744, 0.744, 0.744)
Ga (0.120, 0.120, 0.120)
Ga (0.373, 0.373, 0.373)
Ga (0.627, 0.627, 0.627)
Ga (0.880, 0.880, 0.880)

Computed properties:
* energy of formation from the pure elements: -0.51 eV/atom



The following is a PBE-GGA calculation of a relaxed Li2ScZn2Ga2 crystal, from the Alexandria database.

abc: 4.358 4.358 7.718
angles: 106.83 106.83 60.02
Element x y z (fractional)
Li (0.137, 0.137, 0.407)
Li (0.863, 0.863, 0.593)
Sc (0.000, 0.000, 0.000)
Zn (0.409, 0.409, 0.223)
Zn (0.591, 0.591, 0.777)
Ga (0.263, 0.263, 0.796)
Ga (0.737, 0.737, 0.204)

Computed properties:
* energy of formation from the pure elements: -0.34 eV/atom



The following is a PBE-GGA calculation of a relaxed Li3Ga5Se12 crystal, from the Alexandria database.

abc: 13.438 13.438 13.438
angles: 109.47 109.47 109.47
Element x y z (fractional)
Li (0.125, 0.250, 0.375)
Li (0.125, 0.375, 0.750)
Li (0.250, 0.375, 0.125)
Li (0.250, 0.875, 0.625)
Li (0.375, 0.125, 0.250)
Li (0.375, 0.750, 0.125)
Li (0.625, 0.250, 0.875)
Li (0.625, 0.875, 0.750)
Li (0.750, 0.125, 0.375)
Li (0.750, 0.625, 0.875)
Li (0.875, 0.625, 0.250)
Li (0.875, 0.750, 0.625)
Ga (0.000, 0.000, 0.000)
Ga (0.000, 0.000, 0.500)
Ga (0.000, 0.500, 0.000)
Ga (0.000, 0.500, 0.500)
Ga (0.125, 0.750, 0.875)
Ga (0.125, 0.875, 0.250)
Ga (0.250, 0.125, 0.875)
Ga (0.250, 0.625, 0.375)
Ga (0.375, 0.250, 0.625)
Ga (0.375, 0.625, 0.750)
Ga (0.500, 0.000, 0.000)
Ga (0.500, 0.000, 0.500)
Ga (0.500, 0.500, 0.000)
Ga (0.500, 0.500, 0.500)
Ga (0.625, 0.375, 0.250)
Ga (0.625, 0.750, 0.375)
Ga (0.750, 0.375, 0.625)
Ga (0.750, 0.875, 0.125)
Ga (0.875, 0.125, 0.750)
Ga (0.875, 0.250, 0.125)
Se (0.042, 0.220, 0.115)
Se (0.042, 0.321, 0.927)
Se (0.073, 0.615, 0.394)
Se (0.073, 0.958, 0.679)
Se (0.106, 0.720, 0.679)
Se (0.106, 0.885, 0.427)
Se (0.115, 0.042, 0.220)
Se (0.115, 0.573, 0.894)
Se (0.179, 0.220, 0.606)
Se (0.179, 0.458, 0.573)
Se (0.220, 0.115, 0.042)
Se (0.220, 0.606, 0.179)
Se (0.280, 0.321, 0.894)
Se (0.280, 0.458, 0.385)
Se (0.321, 0.894, 0.280)
Se (0.321, 0.927, 0.042)
Se (0.385, 0.280, 0.458)
Se (0.385, 0.606, 0.927)
Se (0.394, 0.073, 0.615)
Se (0.394, 0.821, 0.780)
Se (0.427, 0.106, 0.885)
Se (0.427, 0.821, 0.542)
Se (0.458, 0.385, 0.280)
Se (0.458, 0.573, 0.179)
Se (0.542, 0.427, 0.821)
Se (0.542, 0.615, 0.720)
Se (0.573, 0.179, 0.458)
Se (0.573, 0.894, 0.115)
Se (0.606, 0.179, 0.220)
Se (0.606, 0.927, 0.385)
Se (0.615, 0.394, 0.073)
Se (0.615, 0.720, 0.542)
Se (0.679, 0.073, 0.958)
Se (0.679, 0.106, 0.720)
Se (0.720, 0.542, 0.615)
Se (0.720, 0.679, 0.106)
Se (0.780, 0.394, 0.821)
Se (0.780, 0.885, 0.958)
Se (0.821, 0.542, 0.427)
Se (0.821, 0.780, 0.394)
Se (0.885, 0.427, 0.106)
Se (0.885, 0.958, 0.780)
Se (0.894, 0.115, 0.573)
Se (0.894, 0.280, 0.321)
Se (0.927, 0.042, 0.321)
Se (0.927, 0.385, 0.606)
Se (0.958, 0.679, 0.073)
Se (0.958, 0.780, 0.885)

Computed properties:
* formation energy from raw total energies: -749 kJ/mol of formula units



The following is a PBE-GGA calculation of a relaxed Li8GaSe6 crystal, from the Alexandria database.

abc: 6.863 7.868 11.335
angles: 90.00 90.00 90.00
Element x y z (fractional)
Li (0.000, 0.106, 0.000)
Li (0.000, 0.241, 0.429)
Li (0.212, 0.573, 0.774)
Li (0.216, 0.946, 0.771)
Li (0.225, 0.739, 0.104)
Li (0.275, 0.261, 0.604)
Li (0.284, 0.054, 0.271)
Li (0.288, 0.427, 0.274)
Li (0.500, 0.759, 0.929)
Li (0.500, 0.894, 0.500)
Li (0.712, 0.427, 0.274)
Li (0.716, 0.054, 0.271)
Li (0.725, 0.261, 0.604)
Li (0.775, 0.739, 0.104)
Li (0.784, 0.946, 0.771)
Li (0.788, 0.573, 0.774)
Ga (0.000, 0.745, 0.478)
Ga (0.500, 0.255, 0.978)
Se (0.000, 0.008, 0.587)
Se (0.000, 0.240, 0.212)
Se (0.000, 0.488, 0.590)
Se (0.000, 0.777, 0.925)
Se (0.235, 0.258, 0.834)
Se (0.265, 0.742, 0.334)
Se (0.500, 0.223, 0.425)
Se (0.500, 0.512, 0.090)
Se (0.500, 0.760, 0.712)
Se (0.500, 0.992, 0.087)
Se (0.735, 0.742, 0.334)
Se (0.765, 0.258, 0.834)

Computed properties:
* formation energy from raw total energies: -1470 kJ/mol of formula units



The following is a PBE-GGA calculation of a relaxed LiGa2Se4 crystal, from the Alexandria database.

abc: 5.304 5.304 6.479
angles: 90.00 90.00 90.00
Element x y z (fractional)
Li (0.000, 0.000, 0.000)
Ga (0.000, 0.500, 0.500)
Ga (0.500, 0.000, 0.500)
Se (0.263, 0.263, 0.262)
Se (0.263, 0.737, 0.738)
Se (0.737, 0.263, 0.738)
Se (0.737, 0.737, 0.262)

Computed properties:
* formation energy from raw total energies: -431 kJ/mol of formula units



The following is a PBE-GGA calculation of a relaxed LiGa6Se8 crystal, from the Alexandria database.

abc: 7.368 7.368 7.368
angles: 94.56 94.56 94.56
Element x y z (fractional)
Li (0.000, 0.000, 0.000)
Ga (0.162, 0.538, 0.368)
Ga (0.368, 0.162, 0.538)
Ga (0.462, 0.632, 0.838)
Ga (0.538, 0.368, 0.162)
Ga (0.632, 0.838, 0.462)
Ga (0.838, 0.462, 0.632)
Se (0.162, 0.391, 0.698)
Se (0.218, 0.218, 0.218)
Se (0.302, 0.838, 0.609)
Se (0.391, 0.698, 0.162)
Se (0.609, 0.302, 0.838)
Se (0.698, 0.162, 0.391)
Se (0.782, 0.782, 0.782)
Se (0.838, 0.609, 0.302)

Computed properties:
* formation energy from raw total energies: -544 kJ/mol of formula units



The following is a PBE-GGA calculation of a relaxed Li2GaSe crystal, from the Alexandria database.

abc: 4.694 4.694 4.694
angles: 60.00 60.00 60.00
Element x y z (fractional)
Li (0.250, 0.250, 0.250)
Li (0.750, 0.750, 0.750)
Ga (0.000, 0.000, 0.000)
Se (0.500, 0.500, 0.500)

Computed properties:
* energy above the most stable polymorph in this dataset: 0 meV per atom
* formation energy from raw total energies: -197 kJ/mol of formula units



The following is a PBE-GGA calculation of a relaxed LiGaSe3 crystal, from the Alexandria database.

abc: 4.819 4.819 4.819
angles: 90.00 90.00 90.00
Element x y z (fractional)
Li (0.000, 0.000, 0.000)
Ga (0.500, 0.500, 0.500)
Se (0.000, 0.000, 0.500)
Se (0.000, 0.500, 0.000)
Se (0.500, 0.000, 0.000)

Computed properties:
* energy above the most stable polymorph in this dataset: 765 meV per atom
* formation energy from raw total energies: 86 kJ/mol of formula units



The following is a PBE-GGA calculation of a relaxed LiGa2Se3 crystal, from the Alexandria database.

abc: 10.521 10.521 8.092
angles: 104.94 104.94 20.82
Element x y z (fractional)
Li (0.153, 0.153, 0.434)
Li (0.847, 0.847, 0.566)
Ga (0.226, 0.226, 0.865)
Ga (0.446, 0.446, 0.319)
Ga (0.554, 0.554, 0.681)
Ga (0.774, 0.774, 0.135)
Se (0.101, 0.101, 0.868)
Se (0.260, 0.260, 0.330)
Se (0.432, 0.432, 0.608)
Se (0.568, 0.568, 0.392)
Se (0.740, 0.740, 0.670)
Se (0.899, 0.899, 0.132)

Computed properties:
* formation energy from raw total energies: -387 kJ/mol of formula units



The following is a PBE-GGA calculation of a relaxed LiGaSe3 crystal, from the Alexandria database.

abc: 5.049 5.049 5.049
angles: 90.00 90.00 90.00
Element x y z (fractional)
Li (0.000, 0.000, 0.000)
Ga (0.500, 0.500, 0.500)
Se (0.000, 0.500, 0.500)
Se (0.500, 0.000, 0.500)
Se (0.500, 0.500, 0.000)

Computed properties:
* energy above the most stable polymorph in this dataset: 527 meV per atom
* formation energy from raw total energies: -29 kJ/mol of formula units



Q: Which DOS(E_F) values were calculated for the entries above? A: 2.53 3.57 2.49 1.34 3.81 3.48 5.66 5.25 1.62 3.79 3.46 3.00 16.89 4.63 4.33 7.80 1.34 7.83 0.69 4.04, in states/eV/f.u..